Entry from the Alexandria database: a geometry-optimized KPr3 structure (PBE).

Values from the calculation:
- formation energy (eV per atom) = 0.43
- ΔE to the lowest computed polymorph (eV/atom) = 0.0119

a = 5.4026 Å, b = 5.4026 Å, c = 5.4026 Å
α = 90.00°, β = 90.00°, γ = 90.00°
Space group Pm-3m (No. 221)
Unique sites:
K  0.0000  0.0000  0.0000 x1
Pr  0.0000  0.5000  0.5000 x3


Entry from the Alexandria database: a geometry-optimized KPrPt4 structure (PBE).

Values from the calculation:
- formation energy (eV per atom) = -0.68

a = 7.8148 Å, b = 7.8148 Å, c = 7.8148 Å
α = 90.00°, β = 90.00°, γ = 90.00°
Space group F-43m (No. 216)
Unique sites:
K  0.0000  0.0000  0.0000 x4
Pr  0.2500  0.2500  0.7500 x4
Pt  0.1251  0.1251  0.3749 x16


Entry from the Alexandria database: a geometry-optimized KPr2Pt9 structure (PBE).

Values from the calculation:
- formation energy (eV per atom) = -0.65

a = 5.5509 Å, b = 5.5509 Å, c = 26.3966 Å
α = 90.00°, β = 90.00°, γ = 120.00°
Space group R-3m (No. 166, hexagonal axes)
Unique sites:
K  0.0000  0.0000  0.0000 x3
Pr  0.0000  0.0000  0.1371 x6
Pt  0.0000  0.0000  0.3318 x6
Pt  0.0000  0.0000  0.5000 x3
Pt  0.0043  0.5021  0.9157 x18


Which value of formation energy does entry 3 give? -0.65 eV per atom


Which value of formation energy does entry 1 give? 0.43 eV per atom